A geometry-optimized BaSc2As structure. Source: the Alexandria database, functional PBE.

Geometry as POSCAR:
```
BaSc2As
1.0
3.5589 0.0413 0.0000
-0.5439 3.5173 0.0000
0.0000 0.0000 9.1161
As Ba Sc
1 1 2
Direct
0.5000 0.5000 0.2500
0.5000 0.5000 0.7500
0.0000 0.0000 0.0866
0.0000 0.0000 0.4134
```

Calculated values
Formation energy (eV per atom): -0.338
DFT total energy (eV for the cell shown): -20.589
Space group: Cmmm (65)